Material: CsBaTl2
Method: DFT, PBE
State: optimized geometry

Calculated values
The energy above the lowest structure with this stoichiometry is 74 meV/atom. The calculation puts the energy at -1.995 eV/atom. Its symmetry is Fm-3m, No. 225. The density of states at the Fermi level comes out at 13.63 states/eV per cell.

Unit cell a=8.8405 b=8.8405 c=8.8405 alpha=90.00 beta=90.00 gamma=90.00
With the nearest neighbours (Å) after each atom.
Atoms (fractional coordinates):
Cs1 0.0000 0.0000 0.0000  8 Tl 3.83
Cs2 0.0000 0.5000 0.5000  8 Tl 3.83
Cs3 0.5000 0.0000 0.5000  8 Tl 3.83
Cs4 0.5000 0.5000 0.0000  8 Tl 3.83
Ba1 0.0000 0.0000 0.5000  8 Tl 3.83
Ba2 0.0000 0.5000 0.0000  8 Tl 3.83
Ba3 0.5000 0.0000 0.0000  8 Tl 3.83
Ba4 0.5000 0.5000 0.5000  8 Tl 3.83
Tl1 0.2500 0.2500 0.2500  4 Ba 3.83, 4 Cs 3.83
Tl2 0.2500 0.2500 0.7500  4 Ba 3.83, 4 Cs 3.83
Tl3 0.2500 0.7500 0.2500  4 Ba 3.83, 4 Cs 3.83
Tl4 0.2500 0.7500 0.7500  4 Ba 3.83, 4 Cs 3.83
Tl5 0.7500 0.2500 0.2500  4 Ba 3.83, 4 Cs 3.83
Tl6 0.7500 0.2500 0.7500  4 Ba 3.83, 4 Cs 3.83
Tl7 0.7500 0.7500 0.2500  4 Ba 3.83, 4 Cs 3.83
Tl8 0.7500 0.7500 0.7500  4 Ba 3.83, 4 Cs 3.83